Record 1
VASP calculation (PBEsol) on PmGdAl2 after structural relaxation.

Cell lengths 5.1133, 5.1133, 5.1133 Å; angles 60.00, 60.00, 60.00 degrees
Element x y z (fractional)
Gd 0.5000 0.5000 0.5000
Al 0.7500 0.7500 0.7500
Al 0.2500 0.2500 0.2500
Pm 0.0000 0.0000 0.0000

- Magnetization: 7.058 μB/f.u.
- ΔE_f: -36.9 kJ per mole of atoms
- E_tot: -0.538 Ry/atom
- SG: Fm-3m, No. 225

Record 2
VASP calculation (PBEsol) on Zn2CrIr after structural relaxation.

Cell lengths 2.6815, 2.6815, 8.6093 Å; angles 81.04, 81.04, 60.00 degrees
Element x y z (fractional)
Ir 0.0000 0.0000 0.0000
Zn 0.7512 0.7512 0.7464
Cr 0.5000 0.5000 0.5000
Zn 0.2488 0.2488 0.2536

- Magnetization: 0.004 μB/f.u.
- ΔE_f: 13.6 kJ per mole of atoms
- E_tot: -0.416 Ry/atom
- SG: R-3m, No. 166

Record 3
VASP calculation (PBEsol) on Ba2TlSbO6 after structural relaxation.

Cell lengths 5.9544, 5.9544, 5.9544 Å; angles 60.00, 60.00, 60.00 degrees
Element x y z (fractional)
O 0.7633 0.2367 0.7633
Sb 0.0000 0.0000 0.0000
Tl 0.5000 0.5000 0.5000
O 0.2367 0.7633 0.7633
O 0.7633 0.7633 0.2367
O 0.7633 0.2367 0.2367
Ba 0.2500 0.2500 0.2500
O 0.2367 0.2367 0.7633
O 0.2367 0.7633 0.2367
Ba 0.7500 0.7500 0.7500

- Magnetization: 0.000 μB/f.u.
- E_tot: -0.457 Ry/atom
- SG: Fm-3m, No. 225
- Energy relative to the elements, uncorrected: -1.92 eV per atom

Record 4
VASP calculation (PBEsol) on BaY after structural relaxation.

Cell lengths 3.7589, 3.7589, 5.6088 Å; angles 90.00, 90.00, 90.00 degrees
Element x y z (fractional)
Y 0.5000 0.5000 0.5000
Ba 0.0000 0.0000 0.0000

- Magnetization: 0.002 μB/f.u.
- ΔE_f: 29.1 kJ per mole of atoms
- E_tot: -0.308 Ry/atom
- SG: P4/mmm, No. 123

Record 5
VASP calculation (PBEsol) on TcSF2 after structural relaxation.

Cell lengths 4.0828, 4.0828, 4.0828 Å; angles 60.00, 60.00, 60.00 degrees
Element x y z (fractional)
F 0.2500 0.2500 0.2500
Tc 0.5000 0.5000 0.5000
S 0.0000 0.0000 0.0000
F 0.7500 0.7500 0.7500

- Magnetization: 2.903 μB/f.u.
- E_tot: -0.364 Ry/atom
- SG: Fm-3m, No. 225
- Energy relative to the elements, uncorrected: -0.07 eV per atom

Record 6
VASP calculation (PBEsol) on ZrIn2Se after structural relaxation.

Cell lengths 4.0380, 4.0380, 5.9434 Å; angles 109.86, 109.86, 90.00 degrees
Element x y z (fractional)
In 0.7500 0.2500 0.5000
In 0.2500 0.7500 0.5000
Zr 0.5000 0.5000 0.0000
Se 0.0000 0.0000 0.0000

- Magnetization: 0.000 μB/f.u.
- E_tot: -0.374 Ry/atom
- SG: I4/mmm, No. 139
- Energy relative to the elements, uncorrected: -0.36 eV per atom

Record 7
VASP calculation (PBEsol) on Si2AgSb after structural relaxation.

Cell lengths 3.6802, 3.6802, 6.9222 Å; angles 74.58, 74.58, 60.00 degrees
Element x y z (fractional)
Si 0.0160 0.0160 0.9519
Sb 0.2535 0.2535 0.2395
Ag 0.4895 0.4895 0.5314
Si 0.7409 0.7409 0.7772

- Magnetization: 0.000 μB/f.u.
- E_tot: -0.338 Ry/atom
- SG: R3m, No. 160
- Energy relative to the elements, uncorrected: 0.24 eV per atom

Record 8
VASP calculation (PBEsol) on SrGe2Rh2 after structural relaxation.

Cell lengths 4.1610, 4.1610, 6.0999 Å; angles 109.94, 109.94, 90.00 degrees
Element x y z (fractional)
Ge 0.6310 0.6310 0.2620
Rh 0.7500 0.2500 0.5000
Rh 0.2500 0.7500 0.5000
Sr 0.0000 0.0000 0.0000
Ge 0.3690 0.3690 0.7380

- Magnetization: 0.000 μB/f.u.
- ΔE_f: -77.5 kJ per mole of atoms
- E_tot: -0.471 Ry/atom
- SG: I4/mmm, No. 139

Record 9
VASP calculation (PBEsol) on LiMoPt2 after structural relaxation.

Cell lengths 3.8771, 3.8771, 4.6442 Å; angles 114.67, 114.67, 90.00 degrees
Element x y z (fractional)
Li 0.0000 0.0000 0.0000
Pt 0.2500 0.7500 0.5000
Pt 0.7500 0.2500 0.5000
Mo 0.5000 0.5000 0.0000

- Magnetization: 0.866 μB/f.u.
- ΔE_f: -22.9 kJ per mole of atoms
- E_tot: -0.526 Ry/atom
- SG: I4/mmm, No. 139

Record 10
VASP calculation (PBEsol) on IrOsBr2 after structural relaxation.

Cell lengths 4.5112, 4.5112, 4.5112 Å; angles 60.00, 60.00, 60.00 degrees
Element x y z (fractional)
Os 0.5000 0.5000 0.5000
Br 0.7500 0.7500 0.7500
Ir 0.0000 0.0000 0.0000
Br 0.2500 0.2500 0.2500

- Magnetization: 0.003 μB/f.u.
- E_tot: -0.359 Ry/atom
- SG: Fm-3m, No. 225
- Energy relative to the elements, uncorrected: 1.56 eV per atom

Record 11
VASP calculation (PBEsol) on MgCrFe3 after structural relaxation.

Cell lengths 4.3607, 4.3607, 4.3607 Å; angles 90.00, 90.00, 90.00 degrees
Element x y z (fractional)
Fe 0.0000 0.5000 0.0000
Cr 0.5000 0.5000 0.5000
Mg 0.0000 0.0000 0.0000
Fe 0.0000 0.0000 0.5000
Fe 0.5000 0.0000 0.0000

- Magnetization: 11.748 μB/f.u.
- ΔE_f: 186.7 kJ per mole of atoms
- E_tot: -0.429 Ry/atom
- SG: Pm-3m, No. 221

Record 12
VASP calculation (PBEsol) on Ba3GaP3 after structural relaxation.

Cell lengths 6.6638, 10.2353, 12.9513 Å; angles 90.00, 90.00, 109.00 degrees
Element x y z (fractional)
Ba 0.3654 0.3505 0.3704
Ba 0.8286 0.0000 0.3487
Ba 0.6346 0.6495 0.6296
Ba 0.8654 0.3505 0.1296
P 0.1520 0.6867 0.6175
P 0.8011 0.0000 0.0952
P 0.0347 0.6867 0.1175
Ba 0.5149 0.6495 0.1296
Ga 0.4162 0.8323 0.5000
P 0.6989 0.0000 0.5952
P 0.4653 0.3133 0.6175
Ba 0.9851 0.3505 0.6296
Ba 0.1346 0.6495 0.8704
Ba 0.3286 0.0000 0.1513
Ba 0.1714 0.0000 0.6513
P 0.3011 0.0000 0.4048
P 0.6520 0.6867 0.8825
Ga 0.5838 0.1677 0.5000
P 0.1989 0.0000 0.9048
Ga 0.0838 0.1677 0.0000
Ba 0.4851 0.3505 0.8704
Ga 0.9162 0.8323 0.0000
P 0.8480 0.3133 0.3825
P 0.5347 0.6867 0.3825
Ba 0.6714 0.0000 0.8487
P 0.9653 0.3133 0.8825
Ba 0.0149 0.6495 0.3704
P 0.3480 0.3133 0.1175

- Magnetization: 0.000 μB/f.u.
- ΔE_f: -91.6 kJ per mole of atoms
- E_tot: -0.355 Ry/atom
- SG: Cmce, No. 64

Record 13
VASP calculation (PBEsol) on Ho2Ge2O7 after structural relaxation.

Cell lengths 4.9514, 5.7090, 5.7090 Å; angles 105.36, 97.34, 97.34 degrees
Element x y z (fractional)
O 0.7112 0.4002 0.0807
O 0.0000 0.0000 0.0000
Ho 0.5000 0.6940 0.3060
O 0.7112 0.0807 0.4002
Ge 0.0917 0.7692 0.7692
O 0.2888 0.5998 0.9193
O 0.7750 0.5980 0.5980
Ge 0.9083 0.2308 0.2308
O 0.2250 0.4020 0.4020
Ho 0.5000 0.3060 0.6940
O 0.2888 0.9193 0.5998

- Magnetization: 0.001 μB/f.u.
- E_tot: -0.573 Ry/atom
- SG: C2/m, No. 12
- Energy relative to the elements, uncorrected: -2.65 eV per atom

Record 14
VASP calculation (PBEsol) on Sm2Si3Pd after structural relaxation.

Cell lengths 3.9471, 4.1736, 7.6915 Å; angles 105.74, 104.87, 90.00 degrees
Element x y z (fractional)
Si 0.4599 0.4599 0.9198
Si 0.2958 0.2958 0.5916
Si 0.7044 0.2044 0.4088
Pd 0.5395 0.0395 0.0790
Sm 0.1311 0.6311 0.2621
Sm 0.8693 0.8693 0.7387

- Magnetization: 0.000 μB/f.u.
- E_tot: -0.477 Ry/atom
- SG: Imm2, No. 44
- Energy relative to the elements, uncorrected: -0.92 eV per atom

Record 15
VASP calculation (PBEsol) on FeAsOs2Br after structural relaxation.

Cell lengths 4.2645, 4.5380, 4.5380 Å; angles 90.00, 90.00, 90.00 degrees
Element x y z (fractional)
Os 0.0000 0.0000 0.5000
As 0.5000 0.0000 0.0000
Br 0.5000 0.5000 0.5000
Fe 0.0000 0.0000 0.0000
Os 0.0000 0.5000 0.0000

- Magnetization: 0.003 μB/f.u.
- E_tot: -0.470 Ry/atom
- SG: P4/mmm, No. 123
- Energy relative to the elements, uncorrected: 1.69 eV per atom

Record 16
VASP calculation (PBEsol) on TiHg3Au after structural relaxation.

Cell lengths 5.1355, 5.1355, 5.1355 Å; angles 90.00, 90.00, 90.00 degrees
Element x y z (fractional)
Ti 0.5000 0.5000 0.5000
Hg 0.0000 0.0000 0.5000
Hg 0.5000 0.0000 0.0000
Hg 0.0000 0.5000 0.0000
Au 0.0000 0.0000 0.0000

- Magnetization: 2.631 μB/f.u.
- ΔE_f: 69.6 kJ per mole of atoms
- E_tot: -0.152 Ry/atom
- SG: Pm-3m, No. 221

Record 17
VASP calculation (PBEsol) on TaPdN2F after structural relaxation.

Cell lengths 3.9205, 4.0382, 4.0382 Å; angles 90.00, 90.00, 90.00 degrees
Element x y z (fractional)
Pd 0.5000 0.5000 0.5000
F 0.5000 0.0000 0.0000
N 0.0000 0.0000 0.5000
Ta 0.0000 0.0000 0.0000
N 0.0000 0.5000 0.0000

- Magnetization: 0.000 μB/f.u.
- E_tot: -0.576 Ry/atom
- SG: P4/mmm, No. 123
- Energy relative to the elements, uncorrected: -0.34 eV per atom

Record 18
VASP calculation (PBEsol) on Ca3NbSn after structural relaxation.

Cell lengths 5.8062, 5.8062, 5.8062 Å; angles 90.00, 90.00, 90.00 degrees
Element x y z (fractional)
Ca 0.0000 0.0000 0.5000
Ca 0.0000 0.5000 0.0000
Sn 0.0000 0.0000 0.0000
Ca 0.5000 0.0000 0.0000
Nb 0.5000 0.5000 0.5000

- Magnetization: 4.964 μB/f.u.
- ΔE_f: 72.3 kJ per mole of atoms
- E_tot: -0.261 Ry/atom
- SG: Pm-3m, No. 221

Record 19
VASP calculation (PBEsol) on TcAgMoPb2 after structural relaxation.

Cell lengths 5.0435, 5.1334, 5.1334 Å; angles 90.00, 90.00, 90.00 degrees
Element x y z (fractional)
Ag 0.0000 0.0000 0.0000
Mo 0.5000 0.0000 0.0000
Pb 0.0000 0.0000 0.5000
Pb 0.0000 0.5000 0.0000
Tc 0.5000 0.5000 0.5000

- Magnetization: 6.148 μB/f.u.
- ΔE_f: 202.7 kJ per mole of atoms
- E_tot: -0.350 Ry/atom
- SG: P4/mmm, No. 123

Record 20
VASP calculation (PBEsol) on ZrReSe after structural relaxation.

Cell lengths 3.1649, 4.3207, 4.3207 Å; angles 120.00, 90.00, 90.00 degrees
Element x y z (fractional)
Re 0.8336 0.0000 0.0000
Se 0.8335 0.6667 0.3333
Zr 0.3330 0.3333 0.6667

- Magnetization: 0.001 μB/f.u.
- E_tot: -0.663 Ry/atom
- SG: P-6m2, No. 187
- Energy relative to the elements, uncorrected: -0.26 eV per atom

Record 21
VASP calculation (PBEsol) on RbZr2TlSe after structural relaxation.

Cell lengths 5.0503, 5.0503, 5.8584 Å; angles 90.00, 90.00, 90.00 degrees
Element x y z (fractional)
Zr 0.5000 0.0000 0.0000
Tl 0.5000 0.5000 0.5000
Se 0.0000 0.0000 0.0000
Zr 0.0000 0.5000 0.0000
Rb 0.0000 0.0000 0.5000

- Magnetization: 0.000 μB/f.u.
- E_tot: -0.362 Ry/atom
- SG: P4/mmm, No. 123
- Energy relative to the elements, uncorrected: 0.21 eV per atom

Record 22
VASP calculation (PBEsol) on MgHPbO2 after structural relaxation.

Cell lengths 3.2736, 4.3296, 4.3296 Å; angles 90.00, 90.00, 90.00 degrees
Element x y z (fractional)
O 0.0000 0.0000 0.5000
Mg 0.5000 0.5000 0.5000
H 0.0000 0.0000 0.0000
Pb 0.5000 0.0000 0.0000
O 0.0000 0.5000 0.0000

- Magnetization: 0.000 μB/f.u.
- E_tot: -0.296 Ry/atom
- SG: P4/mmm, No. 123

Record 23
VASP calculation (PBEsol) on SrTaIr after structural relaxation.

Cell lengths 4.2245, 4.2245, 5.0236 Å; angles 90.00, 90.00, 120.00 degrees
Element x y z (fractional)
Sr 0.3333 0.6667 0.6555
Ir 0.0000 0.0000 0.2004
Ta 0.6667 0.3333 0.1441

- Magnetization: 0.000 μB/f.u.
- ΔE_f: 15.5 kJ per mole of atoms
- E_tot: -0.581 Ry/atom
- SG: P3m1, No. 156

Record 24
VASP calculation (PBEsol) on CoIrRu after structural relaxation.

Cell lengths 2.6394, 3.6504, 4.5020 Å; angles 113.92, 107.05, 90.00 degrees
Element x y z (fractional)
Ir 0.6651 0.6651 0.3301
Co 0.9988 0.9988 0.9976
Ru 0.3361 0.3361 0.6722

- Magnetization: 0.450 μB/f.u.
- ΔE_f: 1.9 kJ per mole of atoms
- E_tot: -0.678 Ry/atom
- SG: Imm2, No. 44

Record 25
VASP calculation (PBEsol) on Sr2PrCu3Pb2O8 after structural relaxation.

Cell lengths 3.8130, 3.8384, 15.7291 Å; angles 88.41, 89.98, 90.00 degrees
Element x y z (fractional)
O 0.5007 0.5341 0.7461
O 0.4993 0.4659 0.2539
Cu 0.4998 0.4870 0.1114
Pb 0.4992 0.4837 0.3912
Cu 0.5002 0.5130 0.8886
Pr 0.0000 0.0000 0.0000
O 0.9998 0.4887 0.0996
Pb 0.5008 0.5163 0.6088
O 0.0011 0.1125 0.6131
O 0.9989 0.8875 0.3869
Sr 0.0005 0.0260 0.7759
O 0.5002 0.0118 0.8997
O 0.0002 0.5113 0.9004
Sr 0.9995 0.9740 0.2241
Cu 0.0000 0.0000 0.5000
O 0.4998 0.9882 0.1003

- Magnetization: 0.001 μB/f.u.
- E_tot: -0.456 Ry/atom
- SG: P2/m, No. 10
- Energy relative to the elements, uncorrected: -1.71 eV per atom

Record 26
VASP calculation (PBEsol) on TcIr2Pt after structural relaxation.

Cell lengths 2.7228, 4.6980, 4.6980 Å; angles 109.22, 90.00, 90.00 degrees
Element x y z (fractional)
Ir 0.0000 0.0000 0.5000
Pt 0.5000 0.0000 0.0000
Tc 0.5000 0.5000 0.5000
Ir 0.0000 0.5000 0.0000

- Magnetization: 0.000 μB/f.u.
- ΔE_f: -4.1 kJ per mole of atoms
- E_tot: -0.699 Ry/atom
- SG: Cmmm, No. 65

Record 27
VASP calculation (PBEsol) on TcAsCl3 after structural relaxation.

Cell lengths 4.7510, 4.7510, 4.7510 Å; angles 90.00, 90.00, 90.00 degrees
Element x y z (fractional)
Cl 0.5000 0.0000 0.0000
Cl 0.0000 0.5000 0.0000
Tc 0.0000 0.0000 0.0000
Cl 0.0000 0.0000 0.5000
As 0.5000 0.5000 0.5000

- Magnetization: 4.649 μB/f.u.
- E_tot: -0.303 Ry/atom
- SG: Pm-3m, No. 221
- Energy relative to the elements, uncorrected: 0.36 eV per atom